# 1
A plane-wave DFT calculation with PBE was carried out for Tb2PrHo3As6 after structural relaxation.

Results
* energy of formation: -1520 meV per atom

```
data_Tb2PrHo3As6
_chemical_formula_sum 'Tb4 Pr2 Ho6 As12'
_symmetry_space_group_name_H-M 'C 1 2/m 1'
_symmetry_Int_Tables_number 12
_cell_length_a 18.078
_cell_length_b 4.151
_cell_length_c 8.295
_cell_angle_alpha 90.00
_cell_angle_beta 103.24
_cell_angle_gamma 90.00
loop_
_symmetry_equiv_pos_as_xyz
'x,y,z'
'-x,-y,-z'
'-x,y,-z'
'x,-y,z'
'x+1/2,y+1/2,z'
'-x+1/2,-y+1/2,-z'
'-x+1/2,y+1/2,-z'
'x+1/2,-y+1/2,z'
loop_
_atom_site_label
_atom_site_type_symbol
_atom_site_fract_x
_atom_site_fract_y
_atom_site_fract_z
Tb1 Tb 0.168 0.000 0.334
Pr1 Pr 0.000 0.500 0.000
Ho1 Ho 0.000 0.500 0.500
Ho2 Ho 0.166 0.000 0.832
As1 As 0.000 0.000 0.259
As2 As 0.166 0.500 0.584
As3 As 0.170 0.500 0.083
```


# 2
A plane-wave DFT calculation with PBE was carried out for Tb2NiHg after structural relaxation.

Results
* energy of formation: -431 meV per atom
* energy above the most stable polymorph in this dataset: 0 meV/atom

```
data_Tb2NiHg
_chemical_formula_sum 'Tb2 Ni1 Hg1'
_symmetry_space_group_name_H-M 'P 4/m m m'
_symmetry_Int_Tables_number 123
_symmetry_space_group_name_Hall '-P 4 2'
_cell_length_a 3.478
_cell_length_b 3.478
_cell_length_c 7.531
_cell_angle_alpha 90.00
_cell_angle_beta 90.00
_cell_angle_gamma 90.00
loop_
_atom_site_label
_atom_site_type_symbol
_atom_site_fract_x
_atom_site_fract_y
_atom_site_fract_z
Tb1 Tb 0.000 0.000 0.217
Ni1 Ni 0.500 0.500 0.000
Hg1 Hg 0.500 0.500 0.500
```


# 3
A plane-wave DFT calculation with PBE was carried out for Sc2AlTc3 after structural relaxation.

Results
* energy of formation: -404 meV per atom

```
data_Sc2AlTc3
_chemical_formula_sum 'Sc6 Al3 Tc9'
_symmetry_space_group_name_H-M 'R -3 m'
_symmetry_Int_Tables_number 166
_symmetry_space_group_name_Hall '-R 3 2"'
_cell_length_a 5.2110
_cell_length_b 5.2110
_cell_length_c 13.0604
_cell_angle_alpha 90.00
_cell_angle_beta 90.00
_cell_angle_gamma 120.00
loop_
_atom_site_label
_atom_site_type_symbol
_atom_site_fract_x
_atom_site_fract_y
_atom_site_fract_z
Sc1 Sc 0.0000 0.0000 0.1208
Al1 Al 0.0000 0.0000 0.5000
Tc1 Tc 0.0000 0.5000 0.0000
```